Crystalline Sc2TeS at its relaxed geometry. Source: Alexandria, functional PBE.

Cell and atoms, written as POSCAR:
```
Sc2TeS
1.0
-3.075 3.075 6.088
3.075 -3.075 6.088
3.075 3.075 -6.088
Sc Te S
4 2 2
Direct
0.078 0.625 0.953
0.375 0.328 0.453
0.672 0.125 0.047
0.875 0.922 0.547
0.250 0.750 0.500
0.500 0.500 0.000
0.000 0.000 0.000
0.750 0.250 0.500
```

Properties
N(E_F) = 3.40 states/eV/f.u.
total magnetic moment = 0.000 Bohr magnetons per cell
E = -6.14 eV/atom
formation energy from raw total energies = -1.155 eV per atom
SG = I-42d
offset from the most stable computed form = 36.4 kJ per mole of atoms